Here is a relaxed K2BaPd2 crystal from Alexandria via LeMat-Bulk. Energies are from GGA-PBE.

Lattice parameters (Å, degrees): 7.9550 7.9550 5.4935 90.00 90.00 90.00
Fractional positions:
K: 0.1566 0.3434 0.0000
K: 0.3434 0.8434 0.0000
K: 0.6566 0.1566 0.0000
K: 0.8434 0.6566 0.0000
Ba: 0.0000 0.0000 0.5000
Ba: 0.5000 0.5000 0.5000
Pd: 0.1188 0.6188 0.5000
Pd: 0.3812 0.1188 0.5000
Pd: 0.6188 0.8812 0.5000
Pd: 0.8812 0.3812 0.5000

Output
Energy above the most stable polymorph in this dataset ... 36 meV per atom
ΔH_f (0 K) ... -0.018 eV per atom
Calculated volume ... 34.76 Å³/atom

=====

Here is a relaxed KBa2Pd crystal from Alexandria via LeMat-Bulk. Energies are from GGA-PBE.

Lattice parameters (Å, degrees): 12.5593 12.5593 12.5593 21.10 21.10 21.10
Fractional positions:
K: 0.0000 0.0000 0.0000
Ba: 0.1193 0.1193 0.1193
Ba: 0.8807 0.8807 0.8807
Pd: 0.5000 0.5000 0.5000

Output
Energy above the most stable polymorph in this dataset ... 41 meV per atom
ΔH_f (0 K) ... -0.275 eV per atom
Calculated volume ... 56.20 Å³/atom

=====

Here is a relaxed KBa4Pd crystal from Alexandria via LeMat-Bulk. Energies are from GGA-PBE.

Lattice parameters (Å, degrees): 8.9574 8.9574 8.9574 93.54 93.54 151.22
Fractional positions:
K: 0.0000 0.0000 0.0000
Ba: 0.1370 0.3414 0.6086
Ba: 0.4715 0.8630 0.2044
Ba: 0.6586 0.2672 0.7956
Ba: 0.7328 0.5285 0.3914
Pd: 0.2500 0.7500 0.5000

Output
ΔH_f (0 K) ... -0.096 eV per atom
Calculated volume ... 55.87 Å³/atom

=====

Here is a relaxed KBa8Pd2 crystal from Alexandria via LeMat-Bulk. Energies are from GGA-PBE.

Lattice parameters (Å, degrees): 10.3678 10.3678 7.6595 97.56 97.56 47.05
Fractional positions:
K: 0.0000 0.0000 0.0000
Ba: 0.1048 0.6066 0.6094
Ba: 0.2107 0.2107 0.9102
Ba: 0.3934 0.8952 0.3906
Ba: 0.4224 0.4224 0.1773
Ba: 0.5776 0.5776 0.8227
Ba: 0.6066 0.1048 0.6094
Ba: 0.7893 0.7893 0.0898
Ba: 0.8952 0.3934 0.3906
Pd: 0.2730 0.2730 0.3238
Pd: 0.7270 0.7270 0.6762

Output
ΔH_f (0 K) ... -0.168 eV per atom
Calculated volume ... 54.22 Å³/atom

=====

Here is a relaxed KBa2Pd2 crystal from Alexandria via LeMat-Bulk. Energies are from GGA-PBE.

Lattice parameters (Å, degrees): 7.6141 7.6141 7.6141 134.87 134.87 65.73
Fractional positions:
K: 0.0000 0.0000 0.0000
Ba: 0.3280 0.3280 0.0000
Ba: 0.6720 0.6720 0.0000
Pd: 0.2500 0.7500 0.5000
Pd: 0.7500 0.2500 0.5000

Output
ΔH_f (0 K) ... -0.130 eV per atom
Calculated volume ... 43.67 Å³/atom

=====

Here is a relaxed KBaPd2 crystal from Alexandria via LeMat-Bulk. Energies are from GGA-PBE.

Lattice parameters (Å, degrees): 5.4660 5.4660 5.4660 60.00 60.00 60.00
Fractional positions:
K: 0.0000 0.0000 0.0000
Ba: 0.5000 0.5000 0.5000
Pd: 0.2500 0.2500 0.2500
Pd: 0.7500 0.7500 0.7500

Output
ΔH_f (0 K) ... -0.048 eV per atom
Calculated volume ... 28.87 Å³/atom

=====

Here is a relaxed K2Ba2Pd crystal from Alexandria via LeMat-Bulk. Energies are from GGA-PBE.

Lattice parameters (Å, degrees): 8.5008 8.5008 7.7868 90.00 90.00 90.00
Fractional positions:
K: 0.1762 0.3238 0.0000
K: 0.3238 0.8238 0.0000
K: 0.6762 0.1762 0.0000
K: 0.8238 0.6762 0.0000
Ba: 0.1831 0.6831 0.5000
Ba: 0.3169 0.1831 0.5000
Ba: 0.6831 0.8169 0.5000
Ba: 0.8169 0.3169 0.5000
Pd: 0.0000 0.0000 0.5000
Pd: 0.5000 0.5000 0.5000

Output
Energy above the most stable polymorph in this dataset ... 137 meV per atom
ΔH_f (0 K) ... -0.007 eV per atom
Calculated volume ... 56.27 Å³/atom

=====

Here is a relaxed KBa2Pd crystal from Alexandria via LeMat-Bulk. Energies are from GGA-PBE.

Lattice parameters (Å, degrees): 4.0277 4.0277 11.4828 90.00 90.00 90.00
Fractional positions:
K: 0.0000 0.0000 0.0000
Ba: 0.5000 0.5000 0.3384
Ba: 0.5000 0.5000 0.6616
Pd: 0.0000 0.0000 0.5000

Output
Energy above the most stable polymorph in this dataset ... 90 meV per atom
ΔH_f (0 K) ... -0.225 eV per atom
Calculated volume ... 46.57 Å³/atom

=====

Here is a relaxed KBa2Pd crystal from Alexandria via LeMat-Bulk. Energies are from GGA-PBE.

Lattice parameters (Å, degrees): 8.2482 8.2482 8.2482 102.88 102.88 123.65
Fractional positions:
K: 0.0000 0.0000 0.0000
K: 0.7500 0.2500 0.5000
Ba: 0.2341 0.1250 0.6091
Ba: 0.3750 0.7659 0.8909
Ba: 0.5159 0.6250 0.3909
Ba: 0.8750 0.4841 0.1091
Pd: 0.2500 0.7500 0.5000
Pd: 0.5000 0.5000 0.0000

Output
Energy above the most stable polymorph in this dataset ... 242 meV per atom
ΔH_f (0 K) ... -0.073 eV per atom
Calculated volume ... 51.47 Å³/atom

=====

Here is a relaxed KBa6Pd3 crystal from Alexandria via LeMat-Bulk. Energies are from GGA-PBE.

Lattice parameters (Å, degrees): 13.7810 4.6752 15.2364 90.00 102.03 90.00
Fractional positions:
K: 0.0446 0.2500 0.1562
K: 0.9554 0.7500 0.8438
Ba: 0.0717 0.7500 0.4111
Ba: 0.2257 0.7500 0.6844
Ba: 0.2313 0.2500 0.9712
Ba: 0.3578 0.7500 0.2613
Ba: 0.3777 0.2500 0.5190
Ba: 0.4747 0.7500 0.8783
Ba: 0.5253 0.2500 0.1217
Ba: 0.6223 0.7500 0.4810
Ba: 0.6422 0.2500 0.7387
Ba: 0.7687 0.7500 0.0288
Ba: 0.7743 0.2500 0.3156
Ba: 0.9283 0.2500 0.5889
Pd: 0.1498 0.2500 0.5487
Pd: 0.3711 0.7500 0.0516
Pd: 0.4862 0.7500 0.6524
Pd: 0.5138 0.2500 0.3476
Pd: 0.6289 0.2500 0.9484
Pd: 0.8502 0.7500 0.4513

Output
ΔH_f (0 K) ... -0.344 eV per atom
Calculated volume ... 48.00 Å³/atom

=====

Here is a relaxed KBa2Pd2 crystal from Alexandria via LeMat-Bulk. Energies are from GGA-PBE.

Lattice parameters (Å, degrees): 8.8802 8.8802 4.4051 90.00 90.00 90.00
Fractional positions:
K: 0.0000 0.0000 0.0000
K: 0.5000 0.5000 0.0000
Ba: 0.1599 0.3401 0.5000
Ba: 0.3401 0.8401 0.5000
Ba: 0.6599 0.1599 0.5000
Ba: 0.8401 0.6599 0.5000
Pd: 0.1180 0.6180 0.0000
Pd: 0.3820 0.1180 0.0000
Pd: 0.6180 0.8820 0.0000
Pd: 0.8820 0.3820 0.0000

Output
ΔH_f (0 K) ... -0.315 eV per atom
Calculated volume ... 34.74 Å³/atom

=====

Here is a relaxed KBa2Pd2 crystal from Alexandria via LeMat-Bulk. Energies are from GGA-PBE.

Lattice parameters (Å, degrees): 9.3175 9.3175 3.8708 90.00 90.00 90.00
Fractional positions:
K: 0.0000 0.0000 0.0000
K: 0.5000 0.5000 0.0000
Ba: 0.1403 0.3597 0.0000
Ba: 0.3597 0.8597 0.0000
Ba: 0.6403 0.1403 0.0000
Ba: 0.8597 0.6403 0.0000
Pd: 0.1559 0.6559 0.5000
Pd: 0.3441 0.1559 0.5000
Pd: 0.6559 0.8441 0.5000
Pd: 0.8441 0.3441 0.5000

Output
ΔH_f (0 K) ... -0.235 eV per atom
Calculated volume ... 33.60 Å³/atom